Density functional theory data (GGA-PBE) for an optimized crystal structure of NaCa.

Values from the calculation:
**Calculated formation energy**: 0.530 eV/atom
**Energy relative to the lowest polymorph listed for this composition**: 496 meV per atom
**Total magnetization**: 0.00 μB/cell
**Mass density**: 956 kg/m3
**DFT total energy**: -1.1305 eV/atom

POSCAR file:
```
NaCa
1.0
6.028 0.000 0.000
-3.014 5.220 0.000
0.000 0.000 6.960
Na Ca
2 2
Direct
0.333 0.667 0.250
0.667 0.333 0.750
0.333 0.667 0.750
0.667 0.333 0.250
```